Material: TaAgGe3
Method: DFT, PBE-GGA
State: optimized geometry

Lattice parameters (Å, degrees): 4.8549 4.8549 4.8549 90.00 90.00 90.00
Closest atoms and distances in Å follow each position.
Fractional coordinates of all 5 atoms:
Ge 0.0000 0.5000 0.0000  2 Ag 2.43
Ge 0.0000 0.0000 0.5000  2 Ag 2.43
Ge 0.5000 0.0000 0.0000  2 Ag 2.43
Ag 0.0000 0.0000 0.0000  6 Ge 2.43
Ta 0.5000 0.5000 0.5000  12 Ge 3.43

## Properties
DFT formation energy ... 6.8 eV per formula unit
Energy above the lowest structure with this stoichiometry ... 0.795 eV per atom
Crystal system ... cubic
Uncorrected energy ... -21.8 eV/cell